# MgCd4Sn | Alexandria | PBE | relaxed
# **ΔE to the lowest computed polymorph**: 0.026 eV/atom
data_MgCd4Sn
_chemical_formula_sum 'Mg1 Cd4 Sn1'
_cell_length_a 5.1617
_cell_length_b 5.3439
_cell_length_c 6.2376
_cell_angle_alpha 108.05
_cell_angle_beta 105.70
_cell_angle_gamma 107.00
_symmetry_space_group_name_H-M 'P -1'
_symmetry_Int_Tables_number 2
loop_
_symmetry_equiv_pos_as_xyz
'x,y,z'
'-x,-y,-z'
loop_
_atom_site_label
_atom_site_fract_x
_atom_site_fract_y
_atom_site_fract_z
Mg1 0.0000 0.0000 0.0000
Cd1 0.0660 0.4212 0.7602
Cd2 0.4295 0.0673 0.7579
Sn1 0.5000 0.5000 0.5000

***

A plane-wave DFT calculation with PBE was carried out for crystalline MgCd6Sn at its relaxed geometry.

Cell and atoms, written as CIF:
```
data_MgCd6Sn
_chemical_formula_sum 'Mg1 Cd6 Sn1'
_cell_length_a 4.5381
_cell_length_b 4.5381
_cell_length_c 8.9683
_cell_angle_alpha 90.00
_cell_angle_beta 90.00
_cell_angle_gamma 90.00
_symmetry_space_group_name_H-M 'P 4/m m m'
_symmetry_Int_Tables_number 123
_symmetry_space_group_name_Hall '-P 4 2'
loop_
_atom_site_label
_atom_site_fract_x
_atom_site_fract_y
_atom_site_fract_z
Mg1 0.0000 0.0000 0.0000
Cd1 0.0000 0.5000 0.2404
Cd2 0.5000 0.5000 0.0000
Cd3 0.5000 0.5000 0.5000
Sn1 0.0000 0.0000 0.5000
```

***

A plane-wave DFT calculation with PBE was carried out for crystalline Mg7CdSn4 at its relaxed geometry.

Cell and atoms, written as CIF:
```
data_Mg7CdSn4
_chemical_formula_sum 'Mg14 Cd2 Sn8'
_cell_length_a 13.0935
_cell_length_b 5.5317
_cell_length_c 10.4526
_cell_angle_alpha 90.00
_cell_angle_beta 124.59
_cell_angle_gamma 90.00
_symmetry_space_group_name_H-M 'C 1 2/m 1'
_symmetry_Int_Tables_number 12
loop_
_symmetry_equiv_pos_as_xyz
'x,y,z'
'-x,-y,-z'
'-x,y,-z'
'x,-y,z'
'x+1/2,y+1/2,z'
'-x+1/2,-y+1/2,-z'
'-x+1/2,y+1/2,-z'
'x+1/2,-y+1/2,z'
loop_
_atom_site_label
_atom_site_fract_x
_atom_site_fract_y
_atom_site_fract_z
Mg1 0.0000 0.0000 0.0000
Mg2 0.0681 0.5000 0.4178
Mg3 0.1745 0.0000 0.8857
Mg4 0.2477 0.5000 0.3317
Cd1 0.0000 0.5000 0.0000
Sn1 0.1051 0.0000 0.3263
Sn2 0.2094 0.5000 0.7720
```

***

no.,formation enthalpy at 0 K (eV/atom),mass density (g cm⁻³)
1,-0.002,6.9
2,-0.014,7.3
3,-0.019,4.0